Record 1
DFT (GGA-PBE) results for LaTbSm2Y6 after structural relaxation.

N(E_F) in states/eV per cell: 32.06
Magnetic moment in μB per cell: 0.00
Energy of formation in eV/atom: 0.12
Calculated total energy in Ha/atom: -0.20810

Lattice parameters (Å, degrees): 9.742 8.851 8.851 117.64 94.18 94.18
Fractional coordinates of all 20 atoms:
La (0.250, 0.977, 0.023)
La (0.750, 0.023, 0.977)
Tb (0.250, 0.408, 0.592)
Tb (0.750, 0.592, 0.408)
Sm (0.453, 0.806, 0.704)
Sm (0.047, 0.296, 0.194)
Sm (0.547, 0.194, 0.296)
Sm (0.953, 0.704, 0.806)
Y (0.058, 0.122, 0.743)
Y (0.442, 0.257, 0.878)
Y (0.942, 0.878, 0.257)
Y (0.558, 0.743, 0.122)
Y (0.317, 0.982, 0.433)
Y (0.183, 0.567, 0.018)
Y (0.683, 0.018, 0.567)
Y (0.817, 0.433, 0.982)
Y (0.116, 0.704, 0.491)
Y (0.384, 0.509, 0.296)
Y (0.884, 0.296, 0.509)
Y (0.616, 0.491, 0.704)

Record 2
DFT (GGA-PBE) results for TaCdCu2 after structural relaxation.

N(E_F) in states/eV per cell: 6.77
Magnetic moment in μB per cell: 0.00
Energy of formation in eV/atom: 0.70
Calculated total energy in Ha/atom: -0.16695

Lattice parameters (Å, degrees): 6.983 6.983 5.702 52.25 52.25 90.00
Fractional coordinates of all 8 atoms:
Cd (0.500, 0.500, 0.000)
Cd (0.250, 0.750, 0.500)
Cu (0.632, 0.125, 0.250)
Cu (0.118, 0.625, 0.250)
Cu (0.375, 0.368, 0.750)
Cu (0.875, 0.882, 0.750)
Ta (0.000, 0.000, 0.000)
Ta (0.750, 0.250, 0.500)

Record 3
DFT (GGA-PBE) results for Er7Tm3Th after structural relaxation.

N(E_F) in states/eV per cell: 35.72
Magnetic moment in μB per cell: 0.00
Energy of formation in eV/atom: 0.16
Energy above the most stable polymorph in this dataset in meV per atom: 0.0
Calculated total energy in Ha/atom: -0.17047

Lattice parameters (Å, degrees): 9.784 9.784 13.052 79.21 79.21 139.06
Fractional coordinates of all 22 atoms:
Er (0.088, 0.913, 0.250)
Er (0.087, 0.912, 0.750)
Er (0.118, 0.442, 0.471)
Er (0.118, 0.442, 0.971)
Er (0.558, 0.882, 0.029)
Er (0.558, 0.882, 0.529)
Er (0.500, 0.500, 0.750)
Er (0.500, 0.500, 0.250)
Er (0.442, 0.118, 0.971)
Er (0.442, 0.118, 0.471)
Er (0.882, 0.558, 0.029)
Er (0.882, 0.558, 0.529)
Er (0.913, 0.088, 0.250)
Er (0.912, 0.087, 0.750)
Tm (0.000, 0.500, 0.750)
Tm (0.000, 0.000, 0.000)
Tm (0.000, 0.000, 0.500)
Tm (0.500, 0.000, 0.250)
Tm (0.500, 0.000, 0.750)
Tm (0.000, 0.500, 0.250)
Th (0.500, 0.500, 0.000)
Th (0.500, 0.500, 0.500)

Record 4
DFT (GGA-PBE) results for NbPt3S after structural relaxation.

N(E_F) in states/eV per cell: 4.98
Magnetic moment in μB per cell: 2.35
Energy above the most stable polymorph in this dataset in meV per atom: 0.0
Calculated total energy in Ha/atom: -0.22207

Lattice parameters (Å, degrees): 4.505 4.505 4.505 90.00 90.00 90.00
Fractional coordinates of all 5 atoms:
Nb (0.500, 0.500, 0.500)
S (0.000, 0.000, 0.000)
Pt (0.000, 0.500, 0.000)
Pt (0.000, 0.000, 0.500)
Pt (0.500, 0.000, 0.000)

Record 5
DFT (GGA-PBE) results for TaAlSnBi2 after structural relaxation.

N(E_F) in states/eV per cell: 3.41
Magnetic moment in μB per cell: 0.00
Energy of formation in eV/atom: 0.61
Calculated total energy in Ha/atom: -0.17875

Lattice parameters (Å, degrees): 5.514 5.133 5.514 90.00 90.00 90.00
Fractional coordinates of all 5 atoms:
Al (0.000, 0.500, 0.000)
Bi (0.000, 0.000, 0.500)
Bi (0.500, 0.000, 0.000)
Sn (0.500, 0.500, 0.500)
Ta (0.000, 0.000, 0.000)

Record 6
DFT (GGA-PBE) results for K2HAu after structural relaxation.

N(E_F) in states/eV per cell: 0.00
Magnetic moment in μB per cell: 0.00
Energy above the most stable polymorph in this dataset in meV per atom: 46.7
Calculated total energy in Ha/atom: -0.08780

Lattice parameters (Å, degrees): 7.761 7.761 6.935 55.97 55.97 90.00
Fractional coordinates of all 8 atoms:
H (0.500, 0.500, 0.000)
H (0.250, 0.750, 0.500)
K (0.553, 0.125, 0.250)
K (0.197, 0.625, 0.250)
K (0.375, 0.447, 0.750)
K (0.875, 0.803, 0.750)
Au (0.000, 0.000, 0.000)
Au (0.750, 0.250, 0.500)

Record 7
DFT (GGA-PBE) results for TeBr after structural relaxation.

Magnetic moment in μB per cell: 0.00
Calculated total energy in Ha/atom: -0.09559

Lattice parameters (Å, degrees): 4.127 4.383 9.270 100.52 90.72 117.88
Fractional coordinates of all 4 atoms:
Te (0.137, 0.952, 0.934)
Te (0.841, 0.347, 0.135)
Br (0.304, 0.303, 0.715)
Br (0.497, 0.659, 0.347)

Record 8
DFT (GGA-PBE) results for Li2ZnInF8 after structural relaxation.

N(E_F) in states/eV per cell: 9.06
Magnetic moment in μB per cell: 1.12
Calculated total energy in Ha/atom: -0.15714

Lattice parameters (Å, degrees): 4.732 4.733 6.460 90.00 90.00 91.32
Fractional coordinates of all 12 atoms:
Li (0.500, 0.500, 0.748)
Li (0.500, 0.500, 0.252)
Zn (0.000, 0.000, 0.000)
In (0.000, 0.000, 0.500)
F (0.195, 0.800, 0.240)
F (0.708, 0.713, 0.000)
F (0.805, 0.200, 0.240)
F (0.805, 0.200, 0.760)
F (0.292, 0.287, 0.000)
F (0.195, 0.800, 0.760)
F (0.688, 0.693, 0.500)
F (0.312, 0.307, 0.500)

Record 9
DFT (GGA-PBE) results for Ce3Pu2PaAs6 after structural relaxation.

N(E_F) in states/eV per cell: 33.11
Magnetic moment in μB per cell: 13.46
Energy of formation in eV/atom: -1.24
Calculated total energy in Ha/atom: -0.30255

Lattice parameters (Å, degrees): 7.232 7.232 7.234 99.59 99.59 120.00
Fractional coordinates of all 12 atoms:
Ce (0.168, 0.832, 0.500)
Ce (0.832, 0.168, 0.500)
Ce (0.500, 0.500, 0.500)
Pu (0.334, 0.666, 0.000)
Pu (0.666, 0.334, 0.000)
Pa (0.000, 0.000, 0.000)
As (0.919, 0.590, 0.757)
As (0.753, 0.753, 0.244)
As (0.081, 0.410, 0.243)
As (0.590, 0.919, 0.757)
As (0.247, 0.247, 0.756)
As (0.410, 0.081, 0.243)

Record 10
DFT (GGA-PBE) results for Cs3TiBr7 after structural relaxation.

Magnetic moment in μB per cell: 0.37
Calculated total energy in Ha/atom: -0.13037

Lattice parameters (Å, degrees): 7.642 10.766 10.766 90.00 90.00 90.00
Fractional coordinates of all 22 atoms:
Cs (0.500, 0.177, 0.677)
Cs (0.500, 0.677, 0.823)
Cs (0.500, 0.323, 0.177)
Cs (0.500, 0.823, 0.323)
Cs (0.000, 0.500, 0.500)
Cs (0.000, 0.000, 0.000)
Ti (0.000, 0.000, 0.500)
Ti (0.000, 0.500, 0.000)
Br (0.765, 0.383, 0.883)
Br (0.765, 0.617, 0.117)
Br (0.765, 0.117, 0.383)
Br (0.765, 0.883, 0.617)
Br (0.235, 0.383, 0.883)
Br (0.235, 0.883, 0.617)
Br (0.235, 0.117, 0.383)
Br (0.235, 0.617, 0.117)
Br (0.500, 0.000, 0.000)
Br (0.500, 0.500, 0.500)
Br (0.000, 0.834, 0.334)
Br (0.000, 0.334, 0.166)
Br (0.000, 0.666, 0.834)
Br (0.000, 0.166, 0.666)

Record 11
DFT (GGA-PBE) results for Sm2BiH3 after structural relaxation.

N(E_F) in states/eV per cell: 0.21
Magnetic moment in μB per cell: 0.00
Calculated total energy in Ha/atom: -0.16881

Lattice parameters (Å, degrees): 4.031 7.885 7.375 113.67 90.00 104.81
Fractional coordinates of all 12 atoms:
Sm (0.471, 0.942, 0.730)
Sm (0.529, 0.058, 0.270)
Sm (0.801, 0.602, 0.324)
Sm (0.199, 0.398, 0.676)
Bi (0.866, 0.732, 0.953)
Bi (0.134, 0.268, 0.047)
H (0.308, 0.615, 0.525)
H (0.938, 0.876, 0.591)
H (0.595, 0.190, 0.622)
H (0.405, 0.810, 0.378)
H (0.062, 0.124, 0.409)
H (0.692, 0.385, 0.475)

Record 12
DFT (GGA-PBE) results for YCd2In2 after structural relaxation.

N(E_F) in states/eV per cell: 6.86
Magnetic moment in μB per cell: 0.00
Energy of formation in eV/atom: -0.03
Energy above the most stable polymorph in this dataset in meV per atom: 140.0
Calculated total energy in Ha/atom: -0.10241

Lattice parameters (Å, degrees): 5.106 5.106 12.369 90.00 90.00 120.00
Fractional coordinates of all 10 atoms:
Y (0.000, 0.000, 0.250)
Y (0.000, 0.000, 0.750)
Cd (0.333, 0.667, 0.616)
Cd (0.667, 0.333, 0.116)
Cd (0.667, 0.333, 0.384)
Cd (0.333, 0.667, 0.884)
In (0.667, 0.333, 0.750)
In (0.000, 0.000, 0.000)
In (0.000, 0.000, 0.500)
In (0.333, 0.667, 0.250)

Record 13
DFT (GGA-PBE) results for ReAgP2 after structural relaxation.

N(E_F) in states/eV per cell: 1.03
Magnetic moment in μB per cell: 0.00
Energy of formation in eV/atom: 0.08
Energy above the most stable polymorph in this dataset in meV per atom: 49.8
Calculated total energy in Ha/atom: -0.23718

Lattice parameters (Å, degrees): 2.980 2.980 7.014 90.00 90.00 90.00
Fractional coordinates of all 4 atoms:
Ag (0.500, 0.500, 0.750)
P (0.000, 0.000, 0.047)
P (0.000, 0.000, 0.453)
Re (0.500, 0.500, 0.250)

Record 14
DFT (GGA-PBE) results for SrScCdHg after structural relaxation.

N(E_F) in states/eV per cell: 3.53
Magnetic moment in μB per cell: 0.00
Energy of formation in eV/atom: -0.27
Calculated total energy in Ha/atom: -0.09462

Lattice parameters (Å, degrees): 5.344 5.344 5.344 60.00 60.00 60.00
Fractional coordinates of all 4 atoms:
Sc (0.000, 0.000, 0.000)
Sr (0.500, 0.500, 0.500)
Hg (0.250, 0.250, 0.250)
Cd (0.750, 0.750, 0.750)

Record 15
DFT (GGA-PBE) results for MgSc2PIr after structural relaxation.

N(E_F) in states/eV per cell: 4.14
Magnetic moment in μB per cell: 0.00
Energy of formation in eV/atom: -0.41
Calculated total energy in Ha/atom: -0.22488

Lattice parameters (Å, degrees): 4.885 4.427 4.885 90.00 90.00 90.00
Fractional coordinates of all 5 atoms:
Sc (0.000, 0.000, 0.500)
Sc (0.500, 0.000, 0.000)
P (0.000, 0.000, 0.000)
Mg (0.500, 0.500, 0.500)
Ir (0.000, 0.500, 0.000)

Record 16
DFT (GGA-PBE) results for CePu2ZrSe4 after structural relaxation.

N(E_F) in states/eV per cell: 19.52
Magnetic moment in μB per cell: 11.93
Calculated total energy in Ha/atom: -0.31715

Lattice parameters (Å, degrees): 4.080 7.049 7.089 109.33 90.00 90.00
Fractional coordinates of all 8 atoms:
Ce (0.000, 0.000, 0.000)
Pu (0.500, 0.000, 0.500)
Pu (0.000, 0.500, 0.500)
Zr (0.500, 0.500, 0.000)
Se (0.500, 0.260, 0.249)
Se (0.500, 0.740, 0.751)
Se (0.000, 0.262, 0.758)
Se (0.000, 0.738, 0.242)

Record 17
DFT (GGA-PBE) results for ReSe3 after structural relaxation.

N(E_F) in states/eV per cell: 7.71
Magnetic moment in μB per cell: 0.00
Energy above the most stable polymorph in this dataset in meV per atom: 935.9
Calculated total energy in Ha/atom: -0.17702

Lattice parameters (Å, degrees): 8.120 8.120 8.120 148.47 148.47 45.19
Fractional coordinates of all 8 atoms:
Re (0.652, 0.652, 0.000)
Re (0.348, 0.348, 0.000)
Se (0.000, 0.500, 0.500)
Se (0.500, 0.000, 0.500)
Se (0.750, 0.250, 0.500)
Se (0.250, 0.750, 0.500)
Se (0.891, 0.891, 0.000)
Se (0.109, 0.109, 0.000)

Record 18
DFT (GGA-PBE) results for Ho2GaGe3Pd4 after structural relaxation.

N(E_F) in states/eV per cell: 5.99
Magnetic moment in μB per cell: 0.00
Energy of formation in eV/atom: -0.78
Calculated total energy in Ha/atom: -0.20070

Lattice parameters (Å, degrees): 4.221 4.221 10.392 90.00 90.00 90.00
Fractional coordinates of all 10 atoms:
Ho (0.500, 0.000, 0.250)
Ho (0.000, 0.500, 0.750)
Ga (0.500, 0.500, 0.500)
Ge (0.000, 0.000, 0.500)
Ge (0.500, 0.000, 0.868)
Ge (0.000, 0.500, 0.132)
Pd (0.500, 0.500, 0.000)
Pd (0.000, 0.000, 0.000)
Pd (0.500, 0.000, 0.635)
Pd (0.000, 0.500, 0.365)

Record 19
DFT (GGA-PBE) results for YBe2Pb2 after structural relaxation.

N(E_F) in states/eV per cell: 2.04
Magnetic moment in μB per cell: 0.00
Energy of formation in eV/atom: 0.24
Calculated total energy in Ha/atom: -0.14798

Lattice parameters (Å, degrees): 4.112 4.112 6.996 72.91 72.91 90.00
Fractional coordinates of all 5 atoms:
Pb (0.373, 0.373, 0.254)
Pb (0.627, 0.627, 0.746)
Y (0.000, 0.000, 0.000)
Be (0.750, 0.250, 0.500)
Be (0.250, 0.750, 0.500)

Record 20
DFT (GGA-PBE) results for AcIn2S4 after structural relaxation.

N(E_F) in states/eV per cell: 3.56
Magnetic moment in μB per cell: 0.00
Energy above the most stable polymorph in this dataset in meV per atom: 67.0
Calculated total energy in Ha/atom: -0.17349

Lattice parameters (Å, degrees): 7.681 8.389 7.771 76.90 60.38 62.75
Fractional coordinates of all 14 atoms:
Ac (0.734, 0.500, 0.500)
Ac (0.984, 0.000, 0.000)
In (0.498, 0.649, 0.129)
In (0.277, 0.351, 0.871)
In (0.898, 0.851, 0.630)
In (0.379, 0.149, 0.370)
S (0.091, 0.283, 0.711)
S (0.690, 0.175, 0.756)
S (0.086, 0.717, 0.289)
S (0.616, 0.325, 0.255)
S (0.197, 0.675, 0.745)
S (0.622, 0.825, 0.244)
S (0.125, 0.216, 0.212)
S (0.553, 0.784, 0.788)